This record from the Alexandria database describes a relaxed V6Cu2O15 crystal. The functional is GGA+U.

POSCAR file:
```
V6Cu2O15
1.0
3.730 0.000 0.000
-1.794 7.742 0.000
-0.156 -3.000 9.836
V Cu O
6 2 15
direct
0.122 0.227 0.116 V
0.284 0.574 0.408 V
0.331 0.661 0.088 V
0.669 0.339 0.912 V
0.716 0.426 0.592 V
0.878 0.773 0.884 V
0.435 0.061 0.351 Cu
0.565 0.939 0.649 Cu
0.000 0.000 0.000 O
0.131 0.197 0.272 O
0.191 0.379 0.971 O
0.241 0.478 0.568 O
0.257 0.520 0.229 O
0.362 0.737 0.913 O
0.403 0.800 0.470 O
0.428 0.863 0.206 O
0.572 0.137 0.794 O
0.597 0.200 0.530 O
0.638 0.263 0.087 O
0.743 0.480 0.771 O
0.759 0.522 0.432 O
0.809 0.621 0.029 O
0.869 0.803 0.728 O
```

Summary:
**Space group**: P-1, No. 2
**Total moment**: 1.90 μB/f.u.
**ρ**: 3.9 g cm⁻³
**Total energy**: -7.202 eV per atom